No. 1
Entry from the Alexandria database: a geometry-optimized SmAu2Cl6 structure (GGA-PBE).

Calculated values
**Formation energy without anion corrections**: -1.044 eV per atom
**N(E_F)**: 0.313 states/eV per atom
**Crystal system**: monoclinic

Cell: 14.1886 12.3493 7.1934 Å, 90.00 101.12 90.00°
Closest atoms and distances in Å follow each position.
Space group C2/c (No. 15)
Asymmetric unit:
Sm (0.0000, 0.0856, 0.2500) [4 per cell]  6 Cl 2.73
Au (0.1292, 0.3987, 0.1156) [8 per cell]  2 Cl 2.30-2.36
Cl (0.0978, 0.0777, 0.6151) [8 per cell]  2 Sm 2.73
Cl (0.1243, 0.4351, 0.4692) [8 per cell]  1 Au 2.30
Cl (0.1468, 0.2110, 0.1761) [8 per cell]  1 Au 2.36



No. 2
Entry from the Alexandria database: a geometry-optimized Sm2AuCl2 structure (GGA-PBE).

Calculated values
**Formation energy without anion corrections**: -1.497 eV per atom
**N(E_F)**: 0.717 states/eV per atom
**Crystal system**: trigonal

Cell: 4.0340 4.0340 32.2780 Å, 90.00 90.00 120.00°
Closest atoms and distances in Å follow each position.
Space group R-3m (No. 166, hexagonal axes)
Asymmetric unit:
Sm (0.0000, 0.0000, 0.1085) [6 per cell]  3 Cl 2.88, 3 Au 2.99
Au (0.0000, 0.0000, 0.5000) [3 per cell]  6 Sm 2.99
Cl (0.0000, 0.0000, 0.2774) [6 per cell]  3 Sm 2.88



No. 3
Entry from the Alexandria database: a geometry-optimized Sm4AuCl5 structure (GGA-PBE).

Calculated values
**Formation energy without anion corrections**: -1.633 eV per atom
**N(E_F)**: 0.330 states/eV per atom
**Crystal system**: monoclinic

Cell: 18.1045 4.0045 8.5604 Å, 90.00 103.27 90.00°
Closest atoms and distances in Å follow each position.
Space group C2/m (No. 12)
Asymmetric unit:
Sm (0.0029, 0.0000, 0.2403) [4 per cell]  2 Au 2.86, 4 Cl 2.90-3.06
Sm (0.1616, 0.5000, 0.0846) [4 per cell]  5 Cl 2.83-2.95, 1 Au 2.85
Au (0.0000, 0.5000, 0.0000) [2 per cell]  6 Sm 2.85-2.86
Cl (0.0000, 0.5000, 0.5000) [2 per cell]  4 Sm 3.00
Cl (0.1672, 0.0000, 0.3208) [4 per cell]  3 Sm 2.83-2.90
Cl (0.1709, 0.0000, 0.8452) [4 per cell]  4 Sm 2.90-3.06